(1)
Entry from Alexandria: crystalline LiInSn3 at its relaxed geometry (PBE-GGA).

The structure belongs to space group Pm-3m (No. 221); the cell edges are 5.103, 5.103 and 5.103 Å and the angles 90.00°, 90.00° and 90.00°. Symmetry generates all atoms from Li at (0.000, 0.000, 0.000), In at (0.500, 0.500, 0.500) and Sn at (0.000, 0.000, 0.500).



(2)
Entry from Alexandria: crystalline AcLu2P at its relaxed geometry (PBE-GGA).

The structure belongs to space group R-3m (No. 166, hexagonal axes); the cell edges are 3.7367, 3.7367 and 31.3494 Å and the angles 90.00°, 90.00° and 120.00°. Symmetry generates all atoms from Ac at (0.0000, 0.0000, 0.0000), Lu at (0.0000, 0.0000, 0.1161) and P at (0.0000, 0.0000, 0.5000).



(3)
Entry from Alexandria: crystalline CaTi2SF at its relaxed geometry (PBE-GGA).

The structure belongs to space group P4/mmm (No. 123); the cell edges are 4.516, 4.516 and 5.901 Å and the angles 90.00°, 90.00° and 90.00°. Symmetry generates all atoms from Ca at (0.000, 0.000, 0.000), Ti at (0.000, 0.500, 0.500), S at (0.000, 0.000, 0.500) and F at (0.500, 0.500, 0.000).



(4)
Entry from Alexandria: crystalline NaSr2P at its relaxed geometry (PBE-GGA).

The structure belongs to space group P4/mmm (No. 123); the cell edges are 3.914, 3.914 and 8.728 Å and the angles 90.00°, 90.00° and 90.00°. Symmetry generates all atoms from Na at (0.000, 0.000, 0.000), Sr at (0.500, 0.500, 0.318) and P at (0.000, 0.000, 0.500).



(5)
Entry from Alexandria: crystalline AcScPaSe6 at its relaxed geometry (PBE-GGA).

The structure belongs to space group P312 (No. 149); the cell edges are 7.1551, 7.1551 and 6.2527 Å and the angles 90.00°, 90.00° and 120.00°. Symmetry generates all atoms from Ac at (0.0000, 0.0000, 0.0000), Sc at (0.3333, 0.6667, 0.0000), Pa at (0.6667, 0.3333, 0.5000) and Se at (0.0083, 0.3770, 0.2514).



(6)
Entry from Alexandria: crystalline Tb2CePu3S6 at its relaxed geometry (PBE-GGA).

The structure belongs to space group C2/m (No. 12); the cell edges are 17.233, 3.947 and 7.910 Å and the angles 90.00°, 102.72° and 90.00°. Symmetry generates all atoms from Tb at (0.167, 0.000, 0.337), Ce at (0.000, 0.500, 0.000), Pu at (0.000, 0.500, 0.500), Pu at (0.165, 0.000, 0.835), S at (0.002, 0.000, 0.256), S at (0.168, 0.500, 0.584) and S at (0.169, 0.500, 0.087).



(7)
Entry from Alexandria: crystalline Pr2Ga4CuNi3 at its relaxed geometry (PBE-GGA).

The structure belongs to space group P-4m2 (No. 115); the cell edges are 4.277, 4.277 and 9.620 Å and the angles 90.00°, 90.00° and 90.00°. Symmetry generates all atoms from Pr at (0.000, 0.500, 0.248), Ga at (0.000, 0.000, 0.500), Ga at (0.000, 0.500, 0.875), Ga at (0.500, 0.500, 0.500), Cu at (0.500, 0.500, 0.000), Ni at (0.000, 0.000, 0.000) and Ni at (0.000, 0.500, 0.627).



(8)
Entry from Alexandria: crystalline Re3Ir5 at its relaxed geometry (PBE-GGA).

The structure belongs to space group Cmmm (No. 65); the cell edges are 7.736, 7.813 and 3.868 Å and the angles 90.00°, 90.00° and 90.00°. Symmetry generates all atoms from Re at (0.000, 0.000, 0.000), Re at (0.246, 0.000, 0.500), Ir at (0.000, 0.248, 0.500), Ir at (0.000, 0.500, 0.000) and Ir at (0.250, 0.250, 0.000).



Per-record DFT total energy, eV for the cell shown: -15.85, -62.18, -26.72, -12.20, -52.98, -211.87, -48.31, -165.21